Entry 1:
A relaxed structure of SmHoCuHg. Source: Alexandria via LeMat-Bulk, functional PBE.

Output
SG: No. 216
V (Å³/cell): 97
Calculated formation energy (meV per atom): -315
E above lowest polymorph (eV per atom): 0.024

Cell: 5.1520 5.1520 5.1520 Å, 60.00 60.00 60.00°
Element x y z (fractional)
1 Sm 0.0000 0.0000 0.0000
2 Ho 0.5000 0.5000 0.5000
3 Cu 0.7500 0.7500 0.7500
4 Hg 0.2500 0.2500 0.2500

Entry 2:
A relaxed structure of NbBiSe. Source: Alexandria via LeMat-Bulk, functional PBE.

Output
SG: No. 8
Formation energy without anion corrections (eV per atom): -0.36
V (Å³/cell): 73
E above lowest polymorph (eV per atom): 0.076

Cell: 3.2618 3.2618 7.1218 Å, 101.57 101.57 89.55°
Element x y z (fractional)
1 Nb 0.0000 0.0000 0.0000
2 Bi 0.2976 0.2976 0.6722
3 Se 0.5878 0.5878 0.1998

Entry 3:
A relaxed structure of LuTiSe. Source: Alexandria via LeMat-Bulk, functional PBE.

Output
SG: No. 187
Formation energy without anion corrections (eV per atom): -0.52
V (Å³/cell): 63

Cell: 4.4275 4.4275 3.7000 Å, 90.00 90.00 120.00°
Element x y z (fractional)
1 Lu 0.0000 0.0000 0.0000
2 Ti 0.6667 0.3333 0.5000
3 Se 0.3333 0.6667 0.5000

Entry 4:
A relaxed structure of YAlCr2. Source: Alexandria via LeMat-Bulk, functional PBE.

Output
SG: No. 123
V (Å³/cell): 74
Calculated formation energy (meV per atom): 314

Cell: 4.3369 4.3369 3.9552 Å, 90.00 90.00 90.00°
Element x y z (fractional)
1 Y 0.0000 0.0000 0.0000
2 Al 0.5000 0.5000 0.0000
3 Cr 0.0000 0.5000 0.5000
4 Cr 0.5000 0.0000 0.5000

Entry 5:
A relaxed structure of Dy2Ti2ZnRh5. Source: Alexandria via LeMat-Bulk, functional PBE.

Output
SG: No. 127
V (Å³/cell): 349
Calculated formation energy (meV per atom): -578

Cell: 10.0564 10.0564 3.4549 Å, 90.00 90.00 90.00°
Element x y z (fractional)
1 Dy 0.1769 0.3231 0.0000
2 Dy 0.3231 0.8231 0.0000
3 Dy 0.6769 0.1769 0.0000
4 Dy 0.8231 0.6769 0.0000
5 Ti 0.1251 0.6251 0.0000
6 Ti 0.3749 0.1251 0.0000
7 Ti 0.6251 0.8749 0.0000
8 Ti 0.8749 0.3749 0.0000
9 Zn 0.0000 0.0000 0.0000
10 Zn 0.5000 0.5000 0.0000
11 Rh 0.0000 0.5000 0.5000
12 Rh 0.0620 0.7980 0.5000
13 Rh 0.2020 0.0620 0.5000
14 Rh 0.2980 0.5620 0.5000
15 Rh 0.4380 0.2980 0.5000
16 Rh 0.5000 0.0000 0.5000
17 Rh 0.5620 0.7020 0.5000
18 Rh 0.7020 0.4380 0.5000
19 Rh 0.7980 0.9380 0.5000
20 Rh 0.9380 0.2020 0.5000

Entry 6:
A relaxed structure of Pm2YSc3. Source: Alexandria via LeMat-Bulk, functional PBE.

Output
SG: No. 164
V (Å³/cell): 364
Calculated formation energy (meV per atom): 230
E above lowest polymorph (eV per atom): 0.028

Cell: 6.3128 6.3128 10.5420 Å, 90.00 90.00 120.00°
Element x y z (fractional)
1 Pm 0.0000 0.0000 0.0000
2 Pm 0.0000 0.0000 0.5000
3 Pm 0.3333 0.6667 0.0662
4 Pm 0.6667 0.3333 0.9338
5 Y 0.3333 0.6667 0.4388
6 Y 0.6667 0.3333 0.5612
7 Sc 0.1701 0.3403 0.7474
8 Sc 0.1701 0.8299 0.7474
9 Sc 0.3403 0.1701 0.2526
10 Sc 0.6597 0.8299 0.7474
11 Sc 0.8299 0.1701 0.2526
12 Sc 0.8299 0.6597 0.2526

Entry 7:
A relaxed structure of Mg4NiPd. Source: Alexandria via LeMat-Bulk, functional PBE.

Output
SG: No. 123
V (Å³/cell): 121
Calculated formation energy (meV per atom): -185
E above lowest polymorph (eV per atom): 0.131

Cell: 4.4084 4.4084 6.2197 Å, 90.00 90.00 90.00°
Element x y z (fractional)
1 Mg 0.0000 0.5000 0.2429
2 Mg 0.0000 0.5000 0.7571
3 Mg 0.5000 0.0000 0.2429
4 Mg 0.5000 0.0000 0.7571
5 Ni 0.0000 0.0000 0.0000
6 Pd 0.5000 0.5000 0.5000

Entry 8:
A relaxed structure of Pr2Ir3Rh4. Source: Alexandria via LeMat-Bulk, functional PBE.

Output
SG: No. 69
V (Å³/cell): 166
Calculated formation energy (meV per atom): -340

Cell: 8.2280 7.2277 5.3914 Å, 79.95 59.87 40.18°
Element x y z (fractional)
1 Pr 0.1352 0.1352 0.8648
2 Pr 0.8648 0.8648 0.1352
3 Ir 0.0000 0.0000 0.5000
4 Ir 0.5000 0.5000 0.0000
5 Ir 0.5000 0.5000 0.5000
6 Rh 0.1455 0.5215 0.4785
7 Rh 0.4785 0.8545 0.1455
8 Rh 0.5215 0.1455 0.8545
9 Rh 0.8545 0.4785 0.5215

Entry 9:
A relaxed structure of Ce5Tl2Ir. Source: Alexandria via LeMat-Bulk, functional PBE.

Output
SG: No. 55
V (Å³/cell): 462
Calculated formation energy (meV per atom): -305

Cell: 7.7881 12.3215 4.8150 Å, 90.00 90.00 90.00°
Element x y z (fractional)
1 Ce 0.0000 0.0000 0.0000
2 Ce 0.1302 0.2962 0.0000
3 Ce 0.1943 0.5639 0.5000
4 Ce 0.3057 0.0639 0.5000
5 Ce 0.3698 0.7962 0.0000
6 Ce 0.5000 0.5000 0.0000
7 Ce 0.6302 0.2038 0.0000
8 Ce 0.6943 0.9361 0.5000
9 Ce 0.8057 0.4361 0.5000
10 Ce 0.8698 0.7038 0.0000
11 Tl 0.0876 0.8268 0.5000
12 Tl 0.4124 0.3268 0.5000
13 Tl 0.5876 0.6732 0.5000
14 Tl 0.9124 0.1732 0.5000
15 Ir 0.0000 0.5000 0.0000
16 Ir 0.5000 0.0000 0.0000

Entry 10:
A relaxed structure of Sb2AsPt. Source: Alexandria via LeMat-Bulk, functional PBE.

Output
SG: No. 12
Formation energy without anion corrections (eV per atom): -0.18
V (Å³/cell): 91

Cell: 3.9850 3.9850 7.0268 Å, 106.61 106.61 60.07°
Element x y z (fractional)
1 Sb 0.2432 0.2432 0.2286
2 Sb 0.7568 0.7568 0.7714
3 As 0.0000 0.0000 0.5000
4 Pt 0.5000 0.5000 0.0000

Entry 11:
A relaxed structure of Pu2HgF. Source: Alexandria via LeMat-Bulk, functional PBE.

Output
SG: No. 166
Formation energy without anion corrections (eV per atom): -0.90
V (Å³/cell): 98
E above lowest polymorph (eV per atom): 0.000

Cell: 7.6928 7.6928 7.6928 Å, 29.47 29.47 29.47°
Element x y z (fractional)
1 Pu 0.2295 0.2295 0.2295
2 Pu 0.7705 0.7705 0.7705
3 Hg 0.0000 0.0000 0.0000
4 F 0.5000 0.5000 0.5000

Entry 12:
A relaxed structure of ZrIrRh2. Source: Alexandria via LeMat-Bulk, functional PBE.

Output
SG: No. 139
V (Å³/cell): 63
Calculated formation energy (meV per atom): -555

Cell: 4.8688 4.8688 4.8688 Å, 131.60 131.60 70.86°
Element x y z (fractional)
1 Zr 0.0000 0.0000 0.0000
2 Ir 0.5000 0.5000 0.0000
3 Rh 0.2500 0.7500 0.5000
4 Rh 0.7500 0.2500 0.5000